[1]
Below is a relaxed CrOs2Pb crystal, with properties calculated at the PBE level.

Magnetic moment: 2.0 μB per formula unit
Density of states at the Fermi level: 3.23 states/eV per cell
Formation enthalpy at 0 K: 765 meV per atom

Lattice parameters (Å, degrees): 5.665 5.665 5.665 150.67 131.82 57.41
Element x y z (fractional)
1 Cr 0.000 0.000 0.000
2 Os 0.217 0.717 0.500
3 Os 0.783 0.283 0.500
4 Pb 0.500 0.500 0.000

[2]
Below is a relaxed CrOs2Pb crystal, with properties calculated at the PBE level.

Magnetic moment: 1.9 μB per formula unit
Density of states at the Fermi level: 3.63 states/eV per cell
Formation enthalpy at 0 K: 687 meV per atom

Lattice parameters (Å, degrees): 2.843 3.781 6.686 90.00 101.95 90.00
Element x y z (fractional)
1 Cr 0.000 0.000 0.000
2 Os 0.182 0.000 0.377
3 Os 0.599 0.500 0.207
4 Pb 0.372 0.500 0.730

[3]
Below is a relaxed CrOs2Pb crystal, with properties calculated at the PBE level.

Magnetic moment: 1.0 μB per formula unit
Density of states at the Fermi level: 5.01 states/eV per cell
Formation enthalpy at 0 K: 901 meV per atom

Lattice parameters (Å, degrees): 2.846 2.846 9.519 90.00 90.00 116.18
Element x y z (fractional)
1 Cr 0.000 0.000 0.000
2 Os 0.500 0.500 0.203
3 Os 0.500 0.500 0.797
4 Pb 0.000 0.000 0.500

[4]
Below is a relaxed CrOsPb4 crystal, with properties calculated at the PBE level.

Magnetic moment: 5.7 μB per formula unit
Density of states at the Fermi level: 6.50 states/eV per cell
Formation enthalpy at 0 K: 1348 meV per atom

Lattice parameters (Å, degrees): 6.167 6.167 6.167 60.00 60.00 60.00
Element x y z (fractional)
1 Cr 0.000 0.000 0.000
2 Os 0.750 0.750 0.750
3 Pb 0.375 0.375 0.375
4 Pb 0.375 0.375 0.874
5 Pb 0.375 0.874 0.375
6 Pb 0.874 0.375 0.375

[5]
Below is a relaxed CrOs3Pb crystal, with properties calculated at the PBE level.

Magnetic moment: 0.0 μB per formula unit
Density of states at the Fermi level: 5.65 states/eV per cell
Offset from the most stable computed form: 0.000 eV/atom
Formation enthalpy at 0 K: 1610 meV per atom

Lattice parameters (Å, degrees): 4.539 4.539 4.539 90.00 90.00 90.00
Element x y z (fractional)
1 Cr 0.000 0.000 0.000
2 Os 0.000 0.000 0.500
3 Os 0.000 0.500 0.000
4 Os 0.500 0.000 0.000
5 Pb 0.500 0.500 0.500

[6]
Below is a relaxed CrOs2Pb crystal, with properties calculated at the PBE level.

Magnetic moment: 4.0 μB per formula unit
Density of states at the Fermi level: 2.35 states/eV per cell
Formation enthalpy at 0 K: 630 meV per atom

Lattice parameters (Å, degrees): 2.938 2.938 8.231 90.00 90.00 90.00
Element x y z (fractional)
1 Cr 0.000 0.000 0.000
2 Os 0.000 0.000 0.413
3 Os 0.500 0.500 0.217
4 Pb 0.500 0.500 0.688

[7]
Below is a relaxed CrOs2Pb crystal, with properties calculated at the PBE level.

Magnetic moment: 2.3 μB per formula unit
Density of states at the Fermi level: 3.95 states/eV per cell
Formation enthalpy at 0 K: 739 meV per atom

Lattice parameters (Å, degrees): 4.823 4.823 4.989 100.99 100.99 36.09
Element x y z (fractional)
1 Cr 0.000 0.000 0.000
2 Os 0.262 0.262 0.778
3 Os 0.523 0.523 0.600
4 Pb 0.763 0.763 0.279

[8]
Below is a relaxed CrOs2Pb crystal, with properties calculated at the PBE level.

Magnetic moment: 0.4 μB per formula unit
Density of states at the Fermi level: 3.38 states/eV per cell
Formation enthalpy at 0 K: 696 meV per atom

Lattice parameters (Å, degrees): 9.433 9.433 9.433 17.54 17.54 17.54
Element x y z (fractional)
1 Cr 0.000 0.000 0.000
2 Os 0.264 0.264 0.264
3 Os 0.736 0.736 0.736
4 Pb 0.500 0.500 0.500

[9]
Below is a relaxed CrOsPb crystal, with properties calculated at the PBE level.

Magnetic moment: 0.0 μB per formula unit
Density of states at the Fermi level: 3.08 states/eV per cell
Formation enthalpy at 0 K: 619 meV per atom

Lattice parameters (Å, degrees): 6.345 6.345 6.345 152.77 152.77 38.90
Element x y z (fractional)
1 Cr 0.000 0.000 0.000
2 Os 0.607 0.607 0.000
3 Pb 0.309 0.309 0.000

[10]
Below is a relaxed CrOs2Pb crystal, with properties calculated at the PBE level.

Magnetic moment: 2.7 μB per formula unit
Density of states at the Fermi level: 4.19 states/eV per cell
Formation enthalpy at 0 K: 698 meV per atom

Lattice parameters (Å, degrees): 2.858 3.835 6.337 90.00 90.00 90.00
Element x y z (fractional)
1 Cr 0.000 0.000 0.000
2 Os 0.000 0.000 0.392
3 Os 0.500 0.500 0.217
4 Pb 0.500 0.500 0.711

[11]
Below is a relaxed CrOsPb3 crystal, with properties calculated at the PBE level.

Magnetic moment: 4.4 μB per formula unit
Density of states at the Fermi level: 5.14 states/eV per cell
Offset from the most stable computed form: 0.000 eV/atom
Formation enthalpy at 0 K: 942 meV per atom

Lattice parameters (Å, degrees): 5.301 5.301 5.301 90.00 90.00 90.00
Element x y z (fractional)
1 Cr 0.000 0.000 0.000
2 Os 0.500 0.500 0.500
3 Pb 0.000 0.500 0.500
4 Pb 0.500 0.000 0.500
5 Pb 0.500 0.500 0.000

[12]
Below is a relaxed CrOs2Pb crystal, with properties calculated at the PBE level.

Magnetic moment: 2.3 μB per formula unit
Density of states at the Fermi level: 4.47 states/eV per cell
Formation enthalpy at 0 K: 816 meV per atom

Lattice parameters (Å, degrees): 4.472 4.472 3.244 90.00 90.00 90.00
Element x y z (fractional)
1 Cr 0.000 0.000 0.000
2 Os 0.000 0.500 0.500
3 Os 0.500 0.000 0.500
4 Pb 0.500 0.500 0.000

> Among the records above, which one has the lowest formation enthalpy at 0 K?

CrOsPb

> Which of these has the highest magnetic moment?

CrOsPb4